Compound: CuP2Rh
Source: Alexandria via LeMat-Bulk
Functional: PBE-GGA
Structure: optimized geometry

a b c (Å): 7.0064 7.0064 7.0064
angles (deg): 25.34 25.34 25.34
Closest atoms and distances in Å follow each position.
Fractional positions:
1 Cu 0.0000 0.0000 0.0000  3 P 2.36
2 P 0.2570 0.2570 0.2570  3 Cu 2.36, 3 P 2.39
3 P 0.5112 0.5112 0.5112  3 Rh 2.35, 3 P 2.39
4 Rh 0.7685 0.7685 0.7685  3 P 2.35

Properties
Its space group is No. 160. The value obtained for the total DFT energy (no corrections) is -22.29 eV/cell. Its energy above the most stable polymorph in this dataset is 15.0 kJ/mol of atoms. Its formation energy is -6 meV/atom.